## CaNb2Os2 (PBEsol)

Data for a geometry-optimized CaNb2Os2 structure.

Unit cell a=4.364 b=4.364 c=6.155 alpha=110.76 beta=110.76 gamma=90.00
Element x y z (fractional)
1 Ca 0.000 0.000 0.000
2 Os 0.618 0.618 0.237
3 Nb 0.750 0.250 0.500
4 Os 0.382 0.382 0.763
5 Nb 0.250 0.750 0.500

Total magnetic moment ... 0.000 μB per formula unit
DFT formation energy ... -19 meV per atom

## Ca3NbP (PBEsol)

Data for a geometry-optimized Ca3NbP structure.

Unit cell a=5.421 b=5.421 c=5.421 alpha=90.00 beta=90.00 gamma=90.00
Site moments in Bohr magnetons follow the coordinates.
Element x y z (fractional)
1 Ca 0.000 0.000 0.500  0.09
2 Ca 0.500 0.000 0.000  0.09
3 Nb 0.500 0.500 0.500  2.96
4 Ca 0.000 0.500 0.000  0.09
5 P 0.000 0.000 0.000  0.06

Total magnetic moment ... 5.615 μB per formula unit
DFT formation energy ... 246 meV per atom

## CaNbP2S (PBEsol)

Data for a geometry-optimized CaNbP2S structure.

Unit cell a=4.872 b=4.860 c=4.860 alpha=90.00 beta=90.00 gamma=90.00
Site moments in Bohr magnetons follow the coordinates.
Element x y z (fractional)
1 Ca 0.000 0.000 0.000  -0.01
2 P 0.000 0.000 0.500  -0.11
3 Nb 0.500 0.500 0.500  2.06
4 P 0.000 0.500 0.000  -0.11
5 S 0.500 0.000 0.000  -0.11

Total magnetic moment ... 1.901 μB per formula unit
Formation energy without anion corrections ... 1.158 eV per atom

## CaNbPS2 (PBEsol)

Data for a geometry-optimized CaNbPS2 structure.

Unit cell a=4.903 b=4.903 c=4.892 alpha=90.00 beta=90.00 gamma=90.00
Site moments in Bohr magnetons follow the coordinates.
Element x y z (fractional)
1 Nb 0.500 0.500 0.500  2.14
2 S 0.000 0.500 0.000  -0.15
3 Ca 0.000 0.000 0.000  0.00
4 P 0.000 0.000 0.500  -0.16
5 S 0.500 0.000 0.000  -0.15

Total magnetic moment ... 1.830 μB per formula unit
Formation energy without anion corrections ... 0.840 eV per atom

## Ca2NbPbSe (PBEsol)

Data for a geometry-optimized Ca2NbPbSe structure.

Unit cell a=5.305 b=5.447 c=5.447 alpha=90.00 beta=90.00 gamma=90.00
Element x y z (fractional)
1 Ca 0.000 0.000 0.500
2 Nb 0.000 0.000 0.000
3 Ca 0.000 0.500 0.000
4 Se 0.500 0.500 0.500
5 Pb 0.500 0.000 0.000

Total magnetic moment ... 0.007 μB per formula unit
Formation energy without anion corrections ... 0.563 eV per atom

## CaNbSb2Pt (PBEsol)

Data for a geometry-optimized CaNbSb2Pt structure.

Unit cell a=4.614 b=5.287 c=5.287 alpha=90.00 beta=90.00 gamma=90.00
Site moments in Bohr magnetons follow the coordinates.
Element x y z (fractional)
1 Pt 0.500 0.500 0.500  -0.01
2 Sb 0.000 0.000 0.500  -0.01
3 Ca 0.000 0.000 0.000  0.04
4 Nb 0.500 0.000 0.000  0.43
5 Sb 0.000 0.500 0.000  -0.01

Total magnetic moment ... 0.516 μB per formula unit
Formation energy without anion corrections ... 1.680 eV per atom

## RbCa2Nb (PBEsol)

Data for a geometry-optimized RbCa2Nb structure.

Unit cell a=5.835 b=5.835 c=5.835 alpha=60.00 beta=60.00 gamma=60.00
Site moments in Bohr magnetons follow the coordinates.
Element x y z (fractional)
1 Nb 0.500 0.500 0.500  2.56
2 Ca 0.250 0.250 0.250  0.07
3 Rb 0.000 0.000 0.000  0.01
4 Ca 0.750 0.750 0.750  0.07

Total magnetic moment ... 4.025 μB per formula unit
DFT formation energy ... 969 meV per atom

## RbCa3Nb (PBEsol)

Data for a geometry-optimized RbCa3Nb structure.

Unit cell a=5.511 b=5.511 c=5.511 alpha=90.00 beta=90.00 gamma=90.00
Site moments in Bohr magnetons follow the coordinates.
Element x y z (fractional)
1 Ca 0.500 0.000 0.000  -0.15
2 Ca 0.000 0.000 0.500  -0.15
3 Nb 0.500 0.500 0.500  1.93
4 Rb 0.000 0.000 0.000  -0.19
5 Ca 0.000 0.500 0.000  -0.15

Total magnetic moment ... 0.742 μB per formula unit
DFT formation energy ... 1687 meV per atom

## RbCa2NbRe (PBEsol)

Data for a geometry-optimized RbCa2NbRe structure.

Unit cell a=5.472 b=5.472 c=5.681 alpha=90.00 beta=90.00 gamma=90.00
Site moments in Bohr magnetons follow the coordinates.
Element x y z (fractional)
1 Ca 0.000 0.500 0.000  0.02
2 Re 0.000 0.000 0.000  -0.89
3 Rb 0.000 0.000 0.500  0.02
4 Ca 0.500 0.000 0.000  0.02
5 Nb 0.500 0.500 0.500  2.95

Total magnetic moment ... 3.542 μB per formula unit
DFT formation energy ... 1979 meV per atom

## Rb2CaNbS (PBEsol)

Data for a geometry-optimized Rb2CaNbS structure.

Unit cell a=4.771 b=6.471 c=6.471 alpha=90.00 beta=90.00 gamma=90.00
Site moments in Bohr magnetons follow the coordinates.
Element x y z (fractional)
1 Rb 0.000 0.500 0.000  0.02
2 Rb 0.000 0.000 0.500  0.02
3 Ca 0.500 0.500 0.500  0.03
4 Nb 0.500 0.000 0.000  2.12
5 S 0.000 0.000 0.000  -0.09

Total magnetic moment ... 3.211 μB per formula unit
Formation energy without anion corrections ... 0.242 eV per atom

## CaNbReTc2 (PBEsol)

Data for a geometry-optimized CaNbReTc2 structure.

Unit cell a=4.741 b=4.741 c=4.816 alpha=90.00 beta=90.00 gamma=90.00
Site moments in Bohr magnetons follow the coordinates.
Element x y z (fractional)
1 Ca 0.500 0.500 0.500  0.03
2 Re 0.000 0.000 0.500  0.83
3 Tc 0.500 0.000 0.000  0.83
4 Nb 0.000 0.000 0.000  -0.07
5 Tc 0.000 0.500 0.000  0.83

Total magnetic moment ... 2.743 μB per formula unit
DFT formation energy ... 1560 meV per atom

## CaNb2ReTc (PBEsol)

Data for a geometry-optimized CaNb2ReTc structure.

Unit cell a=4.782 b=4.782 c=5.210 alpha=90.00 beta=90.00 gamma=90.00
Site moments in Bohr magnetons follow the coordinates.
Element x y z (fractional)
1 Nb 0.000 0.500 0.000  -0.29
2 Nb 0.500 0.000 0.000  -0.29
3 Ca 0.000 0.000 0.500  -0.01
4 Re 0.000 0.000 0.000  0.22
5 Tc 0.500 0.500 0.500  2.65

Total magnetic moment ... 2.360 μB per formula unit
DFT formation energy ... 1723 meV per atom

Q: Which formula does entry 1 have?
A: CaNb2Os2